[1]
Compound: K2LiZnF6
Source: the Open Quantum Materials Database
Functional: PBE-GGA
Structure: optimized geometry

a b c (Å): 5.5352 5.5368 7.8320
angles (deg): 90.01 90.00 90.00
With the nearest neighbours (Å) after each atom.
Fractional coordinates of all 20 atoms:
K1 0.0000 0.0000 0.7499  12 F 2.74-2.79
K2 0.0000 0.0000 0.2501  12 F 2.74-2.79
K3 0.5001 0.5001 0.2500  12 F 2.74-2.79
K4 0.4999 0.4999 0.7500  12 F 2.74-2.79
Zn1 0.5000 0.0000 0.5000  6 F 1.95
Zn2 0.0000 0.5000 0.0000  6 F 1.95
F1 0.7483 0.7461 0.9990  1 Zn 1.95, 1 Li 1.97
F2 0.9995 0.4974 0.7512  1 Zn 1.95, 1 Li 1.97
F3 0.2482 0.7538 0.5010  1 Zn 1.95, 1 Li 1.97
F4 0.2539 0.2518 0.4983  1 Zn 1.95, 1 Li 1.97
F5 0.5005 0.9974 0.2512  1 Zn 1.95, 1 Li 1.97
F6 0.2460 0.7518 0.9983  1 Zn 1.95, 1 Li 1.97
F7 0.7540 0.2482 0.0017  1 Zn 1.95, 1 Li 1.97
F8 0.7461 0.7482 0.5017  1 Zn 1.95, 1 Li 1.97
F9 0.7518 0.2462 0.4990  1 Zn 1.95, 1 Li 1.97
F10 0.0005 0.5026 0.2488  1 Zn 1.95, 1 Li 1.97
F11 0.4995 0.0026 0.7488  1 Zn 1.95, 1 Li 1.97
F12 0.2517 0.2539 0.0010  1 Zn 1.95, 1 Li 1.97
Li1 0.5000 0.0000 0.0000  6 F 1.97
Li2 0.0000 0.5000 0.5000  6 F 1.97

Calculated values
Calculated total energy ... -4.0803 eV/atom
Calculated volume ... 12.0 Å³ per atom

---

[2]
Compound: BeCdAsO
Source: the Open Quantum Materials Database
Functional: PBE-GGA
Structure: optimized geometry

a b c (Å): 3.1887 7.2130 5.4124
angles (deg): 90.00 90.00 90.00
With the nearest neighbours (Å) after each atom.
Fractional coordinates of all 8 atoms:
O1 0.5000 0.5661 0.8462  2 Be 1.54-1.57
O2 0.5000 0.4339 0.3462  2 Be 1.54-1.57
Cd1 0.0000 0.1969 0.4322  2 O 2.38, 1 As 2.63
Cd2 0.0000 0.8031 0.9322  2 O 2.38, 1 As 2.63
As1 0.0000 0.8230 0.4182  2 Be 2.50, 3 Cd 2.63-2.79
As2 0.0000 0.1770 0.9182  2 Be 2.50, 3 Cd 2.63-2.79
Be1 0.5000 0.4220 0.0573  2 O 1.54-1.57
Be2 0.5000 0.5780 0.5573  2 O 1.54-1.57

Calculated values
Calculated total energy ... -4.4601 eV/atom
Calculated volume ... 15.6 Å³ per atom

---

[3]
Compound: LiYZnFe
Source: the Open Quantum Materials Database
Functional: PBE-GGA
Structure: optimized geometry

a b c (Å): 4.5708 4.5708 4.5708
angles (deg): 60.00 60.00 60.00
With the nearest neighbours (Å) after each atom.
Fractional coordinates of all 4 atoms:
Fe1 0.7500 0.7500 0.7500  4 Zn 2.80, 4 Y 2.80
Zn1 0.0000 0.0000 0.0000  4 Fe 2.80, 4 Li 2.80
Y1 0.5000 0.5000 0.5000  4 Li 2.80, 4 Fe 2.80
Li1 0.2500 0.2500 0.2500  4 Y 2.80, 4 Zn 2.80

Calculated values
Calculated total energy ... -4.3548 eV/atom
Calculated volume ... 16.9 Å³ per atom
Size of the total moment ... 0.370 μB/atom

---

[4]
Compound: Nb4InCuC2
Source: the Open Quantum Materials Database
Functional: PBE-GGA
Structure: optimized geometry

a b c (Å): 3.1804 3.1804 13.7761
angles (deg): 90.00 90.00 120.00
With the nearest neighbours (Å) after each atom.
Fractional coordinates of all 8 atoms:
Nb1 0.3333 0.6667 0.3515  3 C 2.19
Nb2 0.0000 0.0000 0.8235  3 C 2.20
Nb3 0.0000 0.0000 0.1765  3 C 2.20
Nb4 0.3333 0.6667 0.6485  3 C 2.19
In1 0.3333 0.6667 0.0000  6 Nb 3.05, 6 In 3.18
Cu1 0.0000 0.0000 0.5000  6 Nb 2.75
C1 0.6667 0.3333 0.7349  6 Nb 2.19-2.20
C2 0.6667 0.3333 0.2651  6 Nb 2.19-2.20

Calculated values
Calculated total energy ... -8.4673 eV/atom
Calculated volume ... 15.1 Å³ per atom
Size of the total moment ... 0.000 μB/atom

---

[5]
Compound: Hf4Cd2CN
Source: the Open Quantum Materials Database
Functional: PBE-GGA
Structure: optimized geometry

a b c (Å): 3.2745 3.2745 14.8883
angles (deg): 90.00 90.00 120.00
With the nearest neighbours (Å) after each atom.
Fractional coordinates of all 8 atoms:
Hf1 0.6667 0.3333 0.9172  3 C 2.26
Hf2 0.6667 0.3333 0.5809  3 N 2.24
Hf3 0.3333 0.6667 0.4191  3 N 2.24
Hf4 0.3333 0.6667 0.0828  3 C 2.26
C1 0.0000 0.0000 0.0000  6 Hf 2.26
N1 0.0000 0.0000 0.5000  6 Hf 2.24
Cd1 0.3333 0.6667 0.7481  6 Hf 3.13-3.15, 6 Cd 3.27
Cd2 0.6667 0.3333 0.2519  6 Hf 3.13-3.15, 6 Cd 3.27

Calculated values
Calculated total energy ... -8.1552 eV/atom
Calculated volume ... 17.3 Å³ per atom
Size of the total moment ... 0.001 μB/atom

---

[6]
Compound: MgHgTeO
Source: the Open Quantum Materials Database
Functional: PBE-GGA
Structure: optimized geometry

a b c (Å): 3.4843 3.4842 14.6881
angles (deg): 90.00 90.00 120.00
With the nearest neighbours (Å) after each atom.
Fractional coordinates of all 8 atoms:
Te1 0.3333 0.6667 0.6229  3 Hg 3.03, 3 Mg 3.15, 3 O 3.38
Te2 0.6667 0.3333 0.1229  3 Hg 3.03, 3 Mg 3.15, 3 O 3.38
Hg1 0.0000 0.0000 0.4690  1 O 2.37
Hg2 0.0000 0.0000 0.9690  1 O 2.37
O1 0.0000 0.0000 0.3080  3 Mg 2.03
O2 0.0000 0.0000 0.8080  3 Mg 2.03
Mg1 0.3333 0.6667 0.2878  3 O 2.03
Mg2 0.6667 0.3333 0.7878  3 O 2.03

Calculated values
Calculated total energy ... -3.3177 eV/atom
Calculated volume ... 19.3 Å³ per atom

---

[7]
Compound: Nb4GaB2P
Source: the Open Quantum Materials Database
Functional: PBE-GGA
Structure: optimized geometry

a b c (Å): 3.2927 3.2927 12.6204
angles (deg): 90.00 90.00 120.00
With the nearest neighbours (Å) after each atom.
Fractional coordinates of all 8 atoms:
Nb1 0.3333 0.6667 0.1665  3 B 2.25
Nb2 0.0000 0.0000 0.3649  3 B 2.30, 3 P 2.55
Nb3 0.3333 0.6667 0.8335  3 B 2.25
Nb4 0.0000 0.0000 0.6351  3 B 2.30, 3 P 2.55
P1 0.3333 0.6667 0.5000  6 Nb 2.55
B1 0.6667 0.3333 0.7380  6 Nb 2.25-2.30
B2 0.6667 0.3333 0.2620  6 Nb 2.25-2.30
Ga1 0.0000 0.0000 0.0000  6 Nb 2.83

Calculated values
Calculated total energy ... -8.4345 eV/atom
Calculated volume ... 14.8 Å³ per atom
Size of the total moment ... 0.001 μB/atom

---

[8]
Compound: Ba2Cd2P2O
Source: the Open Quantum Materials Database
Functional: PBE-GGA
Structure: optimized geometry

a b c (Å): 6.7263 6.7263 7.5080
angles (deg): 120.27 120.27 36.59
With the nearest neighbours (Å) after each atom.
Fractional coordinates of all 7 atoms:
O1 0.5000 0.5000 0.0000  2 Cd 2.31
Cd1 0.2964 0.2964 0.9085  1 O 2.31, 2 P 2.58
Cd2 0.7036 0.7036 0.0915  1 O 2.31, 2 P 2.58
P1 0.6792 0.6792 0.6988  3 Cd 2.58-2.80
P2 0.3208 0.3208 0.3012  3 Cd 2.58-2.80
Ba1 0.0527 0.0527 0.2931  2 O 2.86
Ba2 0.9473 0.9473 0.7069  2 O 2.86

Calculated values
Calculated total energy ... -4.1118 eV/atom
Calculated volume ... 24.5 Å³ per atom

---

[9]
Compound: Hf4GaPC2
Source: the Open Quantum Materials Database
Functional: PBE-GGA
Structure: optimized geometry

a b c (Å): 3.3521 3.3521 13.0070
angles (deg): 90.00 90.00 120.00
With the nearest neighbours (Å) after each atom.
Fractional coordinates of all 8 atoms:
C1 0.3333 0.6667 0.2639  6 Hf 2.29-2.32
C2 0.3333 0.6667 0.7361  6 Hf 2.29-2.32
P1 0.6667 0.3333 0.5000  6 Hf 2.64
Hf1 0.0000 0.0000 0.6376  3 C 2.32
Hf2 0.6667 0.3333 0.8299  3 C 2.29
Hf3 0.0000 0.0000 0.3624  3 C 2.32
Hf4 0.6667 0.3333 0.1701  3 C 2.29
Ga1 0.0000 0.0000 0.0000  6 Hf 2.94

Calculated values
Calculated total energy ... -9.2650 eV/atom
Calculated volume ... 15.8 Å³ per atom
Size of the total moment ... 0.001 μB/atom

---

[10]
Compound: FeSb6Pb4S14
Source: the Open Quantum Materials Database
Functional: PBE-GGA
Structure: optimized geometry

a b c (Å): 15.8855 19.3838 4.0323
angles (deg): 90.00 92.24 90.00
With the nearest neighbours (Å) after each atom.
Fractional coordinates of all 50 atoms:
S1 0.5503 0.2702 0.5822  1 Sb 2.46
S2 0.0503 0.2298 0.5822  1 Sb 2.46
S3 0.9994 0.6036 0.9362  1 Sb 2.57
S4 0.2213 0.2987 0.1059  2 Sb 2.52-2.73
S5 0.2156 0.5070 0.9670  2 Sb 2.63-2.69
S6 0.4497 0.7298 0.4178  1 Sb 2.46
S7 0.7844 0.4930 0.0330  2 Sb 2.63-2.69
S8 0.4994 0.8964 0.9362  1 Sb 2.57
S9 0.4183 0.3985 0.9838  1 Fe 2.36, 1 Sb 2.52
S10 0.9497 0.7702 0.4178  1 Sb 2.46
S11 0.0923 0.0438 0.5225  1 Sb 2.49, 2 Fe 2.61-2.66
S12 0.1844 0.6618 0.4433  1 Sb 2.47
S13 0.5817 0.6015 0.0162  1 Fe 2.36, 1 Sb 2.52
S14 0.5923 0.4562 0.5225  1 Sb 2.49, 2 Fe 2.61-2.66
S15 0.2787 0.7987 0.8941  2 Sb 2.52-2.73
S16 0.0817 0.8985 0.0162  1 Fe 2.36, 1 Sb 2.52
S17 0.3156 0.1618 0.5567  1 Sb 2.47
S18 0.9183 0.1015 0.9838  1 Fe 2.36, 1 Sb 2.52
S19 0.7156 0.9930 0.9670  2 Sb 2.63-2.69
S20 0.7787 0.7013 0.8941  2 Sb 2.52-2.73
S21 0.5006 0.1036 0.0638  1 Sb 2.57
S22 0.8156 0.3382 0.5567  1 Sb 2.47
S23 0.0006 0.3965 0.0638  1 Sb 2.57
S24 0.7213 0.2013 0.1059  2 Sb 2.52-2.73
S25 0.6844 0.8382 0.4433  1 Sb 2.47
S26 0.9077 0.9562 0.4775  1 Sb 2.49, 2 Fe 2.61-2.66
S27 0.4077 0.5438 0.4775  1 Sb 2.49, 2 Fe 2.61-2.66
S28 0.2844 0.0070 0.0330  2 Sb 2.63-2.69
Pb1 0.9241 0.2581 0.0631  6 S 2.89-3.10
Pb2 0.0759 0.7419 0.9369  6 S 2.89-3.10
Pb3 0.4241 0.2419 0.0631  6 S 2.89-3.10
Pb4 0.3190 0.6365 0.9638  7 S 2.98-3.26
Pb5 0.1810 0.1365 0.0362  7 S 2.98-3.26
Pb6 0.6810 0.3635 0.0362  7 S 2.98-3.26
Pb7 0.8190 0.8635 0.9638  7 S 2.98-3.26
Pb8 0.5759 0.7581 0.9369  6 S 2.89-3.10
Sb1 0.1280 0.3397 0.6257  3 S 2.46-2.73
Sb2 0.3963 0.0532 0.6232  3 S 2.47-2.63
Sb3 0.6037 0.9468 0.3768  3 S 2.47-2.63
Sb4 0.8172 0.0603 0.4088  3 S 2.49-2.69
Sb5 0.3172 0.4397 0.4088  3 S 2.49-2.69
Sb6 0.8963 0.4468 0.6232  3 S 2.47-2.63
Sb7 0.1037 0.5532 0.3768  3 S 2.47-2.63
Sb8 0.1828 0.9397 0.5912  3 S 2.49-2.69
Sb9 0.8720 0.6603 0.3743  3 S 2.46-2.73
Sb10 0.3720 0.8397 0.3743  3 S 2.46-2.73
Sb11 0.6280 0.1603 0.6257  3 S 2.46-2.73
Sb12 0.6828 0.5603 0.5912  3 S 2.49-2.69
Fe1 0.0000 0.0000 0.0000  4 S 2.36-2.61
Fe2 0.5000 0.5000 0.0000  4 S 2.36-2.61

Calculated values
Calculated total energy ... -4.5575 eV/atom
Calculated volume ... 24.8 Å³ per atom
Size of the total moment ... 0.162 μB/atom

---

[11]
Compound: Be2Os2Pt
Source: the Open Quantum Materials Database
Functional: PBE-GGA
Structure: optimized geometry

a b c (Å): 5.6650 5.6650 3.6708
angles (deg): 90.00 90.00 90.00
With the nearest neighbours (Å) after each atom.
Fractional coordinates of all 10 atoms:
Be1 0.3743 0.1257 0.0000  1 Be 2.01, 2 Pt 2.24
Be2 0.1257 0.6257 0.0000  1 Be 2.01, 2 Pt 2.24
Be3 0.6257 0.8743 0.0000  1 Be 2.01, 2 Pt 2.24
Be4 0.8743 0.3743 0.0000  1 Be 2.01, 2 Pt 2.24
Os1 0.3246 0.8246 0.5000  6 Be 2.43-2.52
Os2 0.1754 0.3246 0.5000  6 Be 2.43-2.52
Os3 0.6754 0.1754 0.5000  6 Be 2.43-2.52
Os4 0.8246 0.6754 0.5000  6 Be 2.43-2.52
Pt1 0.5000 0.5000 0.0000  4 Be 2.24
Pt2 0.0000 0.0000 0.0000  4 Be 2.24

Calculated values
Calculated total energy ... -7.3288 eV/atom
Calculated volume ... 11.8 Å³ per atom
Size of the total moment ... 0.002 μB/atom

---

[12]
Compound: ZrCuAu
Source: the Open Quantum Materials Database
Functional: PBE-GGA
Structure: optimized geometry

a b c (Å): 5.0114 5.0114 5.0114
angles (deg): 139.75 139.75 58.23
With the nearest neighbours (Å) after each atom.
Fractional coordinates of all 3 atoms:
Cu1 0.9944 0.9944 0.0000  5 Au 2.78-3.04, 5 Zr 2.85-2.90
Zr1 0.6637 0.6637 0.0000  5 Au 2.82-2.90, 5 Cu 2.85-2.90
Au1 0.3419 0.3419 0.0000  5 Cu 2.78-3.04, 5 Zr 2.82-2.90

Calculated values
Calculated total energy ... -5.5357 eV/atom
ΔE_f ... -0.359 eV per atom
Calculated volume ... 17.4 Å³ per atom
Size of the total moment ... 0.001 μB/atom

---

Q: What is the calculated total energy in the ninth record?
A: -9.2650 eV/atom

---

Q: What is the calculated volume in the fifth record?
A: 17.3 Å³ per atom

---

Q: calculated total energy of number 1 (K2LiZnF6)?
A: -4.0803 eV/atom